Compound: Zr2NiHgH
Source: Alexandria via LeMat-Bulk
Functional: PBE
Structure: relaxed

The total moment is 0.392 μB/f.u. For the density of states at the Fermi level, the calculation gives 5.071 states/eV/f.u. As for the crystal system: tetragonal. As for the uncorrected energy: -27.687 eV per cell.

Cell: 4.4748 4.4748 3.9104 Å, 90.00 90.00 90.00°
With the nearest neighbours (Å) after each atom.
Sites, in units of the cell vectors:
Zr  0.0000  0.5000  0.0000  2 H 2.24
Hg  0.5000  0.5000  0.5000  8 Zr 2.97, 4 Ni 3.16
Zr  0.5000  0.0000  0.0000  2 H 2.24
Ni  0.0000  0.0000  0.5000  2 H 1.96
H  0.0000  0.0000  0.0000  2 Ni 1.96